(1)
VASP calculation (PBE) on a geometry-optimized RbMgHgTe2 structure.

Properties
Its symmetry is No. 67. As for the size of the total moment: 0.0 μB/f.u. For the volume, the calculation gives 200 Å³/f.u. The total energy comes out at -2.44 eV per atom.

a = 8.081 Å, b = 8.328 Å, c = 6.454 Å
α = 112.78°, β = 90.00°, γ = 90.00°
Fractional coordinates of all 10 atoms:
Hg 0.000 0.000 0.000
Rb 0.283 0.500 0.750
Hg 0.000 0.000 0.500
Rb 0.717 0.500 0.250
Te 0.308 0.226 0.113
Te 0.692 0.774 0.887
Te 0.308 0.774 0.387
Mg 0.500 0.000 0.750
Mg 0.500 0.000 0.250
Te 0.692 0.226 0.613

=====

(2)
VASP calculation (PBE) on a geometry-optimized RbMgTl2Hg structure.

Properties
Its symmetry is No. 123. As for the size of the total moment: 0.0 μB/f.u. For the volume, the calculation gives 182 Å³/f.u. The value obtained for the formation energy is 0.06 eV/f.u. The total energy comes out at -1.51 eV per atom.

a = 5.679 Å, b = 5.679 Å, c = 5.647 Å
α = 90.00°, β = 90.00°, γ = 90.00°
Fractional coordinates of all 5 atoms:
Mg 0.000 0.000 0.000
Tl 0.000 0.500 0.000
Hg 0.000 0.000 0.500
Tl 0.500 0.000 0.000
Rb 0.500 0.500 0.500

=====

(3)
VASP calculation (PBE) on a geometry-optimized Rb2Mg3Tl12Hg structure.

Properties
Its symmetry is No. 166. As for the size of the total moment: 0.0 μB/f.u. For the volume, the calculation gives 628 Å³/f.u. The value obtained for the formation energy is 1.00 eV/f.u. The total energy comes out at -1.91 eV per atom.

a = 12.543 Å, b = 12.543 Å, c = 12.543 Å
α = 36.60°, β = 36.60°, γ = 36.60°
Fractional coordinates of all 18 atoms:
Tl 0.078 0.078 0.634
Tl 0.922 0.922 0.366
Tl 0.078 0.634 0.078
Tl 0.922 0.366 0.922
Tl 0.366 0.922 0.922
Tl 0.185 0.589 0.589
Hg 0.000 0.000 0.000
Tl 0.589 0.589 0.185
Tl 0.634 0.078 0.078
Tl 0.815 0.411 0.411
Rb 0.646 0.646 0.646
Mg 0.000 0.500 0.000
Tl 0.411 0.411 0.815
Mg 0.500 0.000 0.000
Mg 0.000 0.000 0.500
Tl 0.411 0.815 0.411
Rb 0.354 0.354 0.354
Tl 0.589 0.185 0.589

=====

(4)
VASP calculation (PBE) on a geometry-optimized RbMgTlHg2 structure.

Properties
Its symmetry is No. 123. As for the size of the total moment: 0.0 μB/f.u. For the volume, the calculation gives 179 Å³/f.u. The value obtained for the formation energy is -0.31 eV/f.u. The total energy comes out at -1.17 eV per atom.

a = 5.636 Å, b = 5.636 Å, c = 5.636 Å
α = 90.00°, β = 90.00°, γ = 90.00°
Fractional coordinates of all 5 atoms:
Hg 0.500 0.000 0.000
Rb 0.500 0.500 0.500
Tl 0.000 0.000 0.500
Hg 0.000 0.500 0.000
Mg 0.000 0.000 0.000

=====

(5)
VASP calculation (PBE) on a geometry-optimized Rb2MgHgW structure.

Properties
Its symmetry is No. 123. As for the size of the total moment: 5.0 μB/f.u. For the volume, the calculation gives 251 Å³/f.u. The value obtained for the formation energy is 7.28 eV/f.u. The total energy comes out at -1.90 eV per atom.

a = 6.923 Å, b = 5.247 Å, c = 6.923 Å
α = 90.00°, β = 90.00°, γ = 90.00°
Site moments in Bohr magnetons follow the coordinates.
Fractional coordinates of all 5 atoms:
Rb 0.000 0.000 0.500  0.01
Hg 0.000 0.500 0.000  0.00
Rb 0.500 0.000 0.000  0.01
W 0.500 0.500 0.500  3.47
Mg 0.000 0.000 0.000  0.00

=====

(6)
VASP calculation (PBE) on a geometry-optimized Mg2ReHg structure.

Properties
Its symmetry is No. 123. As for the size of the total moment: 0.5 μB/f.u. For the volume, the calculation gives 74 Å³/f.u. The value obtained for the formation energy is 0.94 eV/f.u. The total energy comes out at -3.75 eV per atom.

a = 2.890 Å, b = 2.890 Å, c = 8.853 Å
α = 90.00°, β = 90.00°, γ = 90.00°
Site moments in Bohr magnetons follow the coordinates.
Fractional coordinates of all 4 atoms:
Hg 0.500 0.500 0.750  -0.01
Re 0.500 0.500 0.250  0.47
Mg 0.000 0.000 0.021  0.00
Mg 0.000 0.000 0.479  0.00

=====

(7)
VASP calculation (PBE) on a geometry-optimized Mg2ReHg structure.

Properties
Its symmetry is No. 25. As for the size of the total moment: 0.0 μB/f.u. For the volume, the calculation gives 72 Å³/f.u. The value obtained for the formation energy is 1.24 eV/f.u. The total energy comes out at -3.68 eV per atom.

a = 4.854 Å, b = 2.856 Å, c = 5.218 Å
α = 90.00°, β = 90.00°, γ = 90.00°
Fractional coordinates of all 4 atoms:
Mg 0.000 0.125 0.960
Re 0.000 0.625 0.455
Hg 0.500 0.625 0.782
Mg 0.500 0.125 0.303

=====

(8)
VASP calculation (PBE) on a geometry-optimized Mg2ReHg structure.

Properties
Its symmetry is No. 65. As for the size of the total moment: 0.0 μB/f.u. For the volume, the calculation gives 73 Å³/f.u. The value obtained for the formation energy is 0.90 eV/f.u. The total energy comes out at -3.76 eV per atom.

a = 2.867 Å, b = 2.867 Å, c = 9.157 Å
α = 90.00°, β = 90.00°, γ = 103.22°
Fractional coordinates of all 4 atoms:
Hg 0.500 0.500 0.750
Mg 0.000 0.000 0.481
Mg 0.000 0.000 0.019
Re 0.500 0.500 0.250

=====

What did the second record say?
VASP calculation (PBE) on a geometry-optimized RbMgTl2Hg structure.

Properties
Its symmetry is No. 123. As for the size of the total moment: 0.0 μB/f.u. For the volume, the calculation gives 182 Å³/f.u. The value obtained for the formation energy is 0.06 eV/f.u. The total energy comes out at -1.51 eV per atom.

a = 5.679 Å, b = 5.679 Å, c = 5.647 Å
α = 90.00°, β = 90.00°, γ = 90.00°
Fractional coordinates of all 5 atoms:
Mg 0.000 0.000 0.000
Tl 0.000 0.500 0.000
Hg 0.000 0.000 0.500
Tl 0.500 0.000 0.000
Rb 0.500 0.500 0.500